Record 1
First-principles (PBE-GGA) data for AlReTcAu after structural relaxation, as listed in OQMD.

Calculated values
Symmetry ... F-43m (216)
Crystal system ... cubic
Energy above the most stable polymorph in this dataset ... 0.1416 eV/atom

The structure in POSCAR format:
```
AlReTcAu
1.0
0.000 3.126 3.126
3.126 0.000 3.126
3.126 3.126 0.000
Al Re Tc Au
1 1 1 1
Direct
0.000 0.000 0.000 Al
0.750 0.750 0.750 Re
0.250 0.250 0.250 Tc
0.500 0.500 0.500 Au
```

=====

Record 2
First-principles (PBE-GGA) data for CsLiPd after structural relaxation, as listed in OQMD.

Calculated values
Symmetry ... F-43m (216)
Crystal system ... cubic
Energy above the most stable polymorph in this dataset ... 0.3596 eV/atom

The structure in POSCAR format:
```
CsLiPd
1.0
0.000 3.726 3.726
3.726 0.000 3.726
3.726 3.726 0.000
Cs Li Pd
1 1 1
Direct
0.000 0.000 0.000 Cs
0.750 0.750 0.750 Li
0.250 0.250 0.250 Pd
```

=====

Record 3
First-principles (PBE-GGA) data for Dy2Ga4CoCu after structural relaxation, as listed in OQMD.

Calculated values
Symmetry ... Amm2 (38)
Crystal system ... orthorhombic
Uncorrected energy ... -4.55 eV per atom

The structure in POSCAR format:
```
Dy2Ga4CoCu
1.0
6.684 0.000 0.000
0.000 2.070 5.053
0.000 -2.070 5.053
Dy Ga Co Cu
2 4 1 1
Direct
0.000 0.000 0.000 Dy
0.500 0.146 0.146 Dy
0.199 0.715 0.715 Ga
0.308 0.433 0.433 Ga
0.692 0.433 0.433 Ga
0.801 0.715 0.715 Ga
0.500 0.865 0.865 Co
0.000 0.285 0.285 Cu
```

=====

Record 4
First-principles (PBE-GGA) data for CsErGeTe3 after structural relaxation, as listed in OQMD.

Calculated values
Symmetry ... P2_1/m (11)
Crystal system ... monoclinic
Energy above the most stable polymorph in this dataset ... 0.0000 eV/atom

The structure in POSCAR format:
```
CsErGeTe3
1.0
9.803 0.000 0.000
0.000 4.314 0.000
-4.821 0.000 11.216
Cs Er Ge Te
2 2 2 6
Direct
0.229 0.250 0.278 Cs
0.771 0.750 0.722 Cs
0.369 0.750 0.843 Er
0.631 0.250 0.157 Er
0.117 0.250 0.555 Ge
0.883 0.750 0.445 Ge
0.125 0.250 0.779 Te
0.319 0.750 0.576 Te
0.394 0.750 0.100 Te
0.606 0.250 0.900 Te
0.681 0.250 0.424 Te
0.875 0.750 0.221 Te
```

=====

Record 5
First-principles (PBE-GGA) data for NaYFeSe3 after structural relaxation, as listed in OQMD.

Calculated values
Symmetry ... Pnma (62)
Crystal system ... orthorhombic
Energy above the most stable polymorph in this dataset ... 0.0009 eV/atom

The structure in POSCAR format:
```
NaYFeSe3
1.0
13.842 0.000 0.000
0.000 3.973 0.000
0.000 0.000 10.936
Na Y Fe Se
4 4 4 12
Direct
0.230 0.250 0.050 Na
0.270 0.750 0.550 Na
0.730 0.250 0.450 Na
0.770 0.750 0.950 Na
0.014 0.250 0.341 Y
0.486 0.750 0.841 Y
0.514 0.250 0.159 Y
0.986 0.750 0.659 Y
0.007 0.750 0.080 Fe
0.493 0.250 0.580 Fe
0.507 0.750 0.420 Fe
0.993 0.250 0.920 Fe
0.101 0.750 0.887 Se
0.113 0.250 0.567 Se
0.134 0.750 0.232 Se
0.366 0.250 0.732 Se
0.387 0.750 0.067 Se
0.399 0.250 0.387 Se
0.601 0.750 0.613 Se
0.613 0.250 0.933 Se
0.634 0.750 0.268 Se
0.866 0.250 0.768 Se
0.887 0.750 0.433 Se
0.899 0.250 0.113 Se
```

=====

Record 6
First-principles (PBE-GGA) data for Gd3SbO2 after structural relaxation, as listed in OQMD.

Calculated values
Symmetry ... P-3m1 (164)
Crystal system ... trigonal
Uncorrected energy ... -6.71 eV per atom

The structure in POSCAR format:
```
Gd3SbO2
1.0
3.595 0.000 0.000
-1.798 3.114 0.000
0.000 0.000 10.015
Gd Sb O
3 1 2
Direct
0.000 0.000 0.000 Gd
0.333 0.667 0.269 Gd
0.667 0.333 0.731 Gd
0.000 0.000 0.500 Sb
0.333 0.667 0.872 O
0.667 0.333 0.128 O
```

=====

Record 7
First-principles (PBE-GGA) data for ZrAlRe2 after structural relaxation, as listed in OQMD.

Calculated values
Symmetry ... F-43m (216)
Crystal system ... cubic
Uncorrected energy ... -9.30 eV per atom

The structure in POSCAR format:
```
ZrAlRe2
1.0
0.000 3.196 3.196
3.196 0.000 3.196
3.196 3.196 0.000
Zr Al Re
1 1 2
Direct
0.000 0.000 0.000 Zr
0.750 0.750 0.750 Al
0.250 0.250 0.250 Re
0.500 0.500 0.500 Re
```

=====

Record 8
First-principles (PBE-GGA) data for GaReTc2 after structural relaxation, as listed in OQMD.

Calculated values
Symmetry ... F-43m (216)
Crystal system ... cubic
Uncorrected energy ... -8.89 eV per atom

The structure in POSCAR format:
```
GaReTc2
1.0
0.000 3.082 3.082
3.082 0.000 3.082
3.082 3.082 0.000
Ga Re Tc
1 1 2
Direct
0.000 0.000 0.000 Ga
0.250 0.250 0.250 Re
0.500 0.500 0.500 Tc
0.750 0.750 0.750 Tc
```

=====

Record 9
First-principles (PBE-GGA) data for LiHfScPt after structural relaxation, as listed in OQMD.

Calculated values
Symmetry ... F-43m (216)
Crystal system ... cubic
Energy above the most stable polymorph in this dataset ... 0.1525 eV/atom

The structure in POSCAR format:
```
LiHfScPt
1.0
0.000 3.245 3.245
3.245 0.000 3.245
3.245 3.245 0.000
Li Hf Sc Pt
1 1 1 1
Direct
0.000 0.000 0.000 Li
0.500 0.500 0.500 Hf
0.750 0.750 0.750 Sc
0.250 0.250 0.250 Pt
```

=====

Record 10
First-principles (PBE-GGA) data for Y2ZnIr after structural relaxation, as listed in OQMD.

Calculated values
Symmetry ... P6_3/mmc (194)
Crystal system ... hexagonal
Uncorrected energy ... -5.77 eV per atom

The structure in POSCAR format:
```
Y2ZnIr
1.0
5.019 0.000 0.000
-2.510 4.347 0.000
0.000 0.000 8.440
Y Zn Ir
4 2 2
Direct
0.333 0.667 0.081 Y
0.333 0.667 0.419 Y
0.667 0.333 0.581 Y
0.667 0.333 0.919 Y
0.000 0.000 0.000 Zn
0.000 0.000 0.500 Zn
0.333 0.667 0.750 Ir
0.667 0.333 0.250 Ir
```

=====

Record 11
First-principles (PBE-GGA) data for RbPuInTe3 after structural relaxation, as listed in OQMD.

Calculated values
Symmetry ... Cmcm (63)
Crystal system ... orthorhombic
Uncorrected energy ... -5.36 eV per atom

The structure in POSCAR format:
```
RbPuInTe3
1.0
2.400 -8.224 0.000
2.400 8.224 0.000
0.000 0.000 11.986
Rb Pu In Te
2 2 2 6
Direct
0.249 0.751 0.750 Rb
0.751 0.249 0.250 Rb
0.000 0.000 0.000 Pu
0.000 0.000 0.500 Pu
0.472 0.528 0.250 In
0.528 0.472 0.750 In
0.072 0.928 0.250 Te
0.373 0.627 0.056 Te
0.373 0.627 0.444 Te
0.627 0.373 0.556 Te
0.627 0.373 0.944 Te
0.928 0.072 0.750 Te
```

=====

Record 12
First-principles (PBE-GGA) data for RbNiAu after structural relaxation, as listed in OQMD.

Calculated values
Symmetry ... F-43m (216)
Crystal system ... cubic
Energy above the most stable polymorph in this dataset ... 0.0000 eV/atom

The structure in POSCAR format:
```
RbNiAu
1.0
0.000 3.386 3.386
3.386 0.000 3.386
3.386 3.386 0.000
Rb Ni Au
1 1 1
Direct
0.000 0.000 0.000 Rb
0.750 0.750 0.750 Ni
0.500 0.500 0.500 Au
```

=====

Record 13
First-principles (PBE-GGA) data for Ga3Co2 after structural relaxation, as listed in OQMD.

Calculated values
Symmetry ... R-3c (167)
Crystal system ... trigonal
Uncorrected energy ... -4.73 eV per atom

The structure in POSCAR format:
```
Ga3Co2
1.0
2.638 1.523 6.073
-2.638 1.523 6.073
0.000 -3.046 6.073
Ga Co
6 4
Direct
0.140 0.750 0.360 Ga
0.250 0.640 0.860 Ga
0.360 0.140 0.750 Ga
0.640 0.860 0.250 Ga
0.750 0.360 0.140 Ga
0.860 0.250 0.640 Ga
0.178 0.178 0.178 Co
0.322 0.322 0.322 Co
0.678 0.678 0.678 Co
0.822 0.822 0.822 Co
```

=====

Record 14
First-principles (PBE-GGA) data for BeNbFeB after structural relaxation, as listed in OQMD.

Calculated values
Symmetry ... F-43m (216)
Crystal system ... cubic
Energy above the most stable polymorph in this dataset ... 0.0000 eV/atom

The structure in POSCAR format:
```
BeNbFeB
1.0
0.000 2.746 2.746
2.746 0.000 2.746
2.746 2.746 0.000
Be Nb Fe B
1 1 1 1
Direct
0.000 0.000 0.000 Be
0.250 0.250 0.250 Nb
0.750 0.750 0.750 Fe
0.500 0.500 0.500 B
```

=====

Record 15
First-principles (PBE-GGA) data for PrDy2P3 after structural relaxation, as listed in OQMD.

Calculated values
Symmetry ... P-3m1 (164)
Crystal system ... trigonal
Uncorrected energy ... -6.61 eV per atom

The structure in POSCAR format:
```
PrDy2P3
1.0
4.072 0.000 0.000
-2.036 3.526 0.000
0.000 0.000 9.972
Pr Dy P
1 2 3
Direct
0.000 0.000 0.000 Pr
0.333 0.667 0.338 Dy
0.667 0.333 0.662 Dy
0.000 0.000 0.500 P
0.333 0.667 0.823 P
0.667 0.333 0.177 P
```

=====

Record 16
First-principles (PBE-GGA) data for CdB2As after structural relaxation, as listed in OQMD.

Calculated values
Symmetry ... F-43m (216)
Crystal system ... cubic
Uncorrected energy ... -2.98 eV per atom

The structure in POSCAR format:
```
CdB2As
1.0
0.000 3.106 3.106
3.106 0.000 3.106
3.106 3.106 0.000
Cd B As
1 2 1
Direct
0.000 0.000 0.000 Cd
0.250 0.250 0.250 B
0.500 0.500 0.500 B
0.750 0.750 0.750 As
```

=====

Record 17
First-principles (PBE-GGA) data for PmDy2Hg5 after structural relaxation, as listed in OQMD.

Calculated values
Symmetry ... I4/mmm (139)
Crystal system ... tetragonal
Uncorrected energy ... -2.37 eV per atom

The structure in POSCAR format:
```
PmDy2Hg5
1.0
-2.612 2.612 7.316
2.612 -2.612 7.316
2.612 2.612 -7.316
Pm Dy Hg
1 2 5
Direct
0.000 0.000 0.000 Pm
0.267 0.267 0.000 Dy
0.733 0.733 0.000 Dy
0.127 0.627 0.500 Hg
0.373 0.873 0.500 Hg
0.500 0.500 0.000 Hg
0.627 0.127 0.500 Hg
0.873 0.373 0.500 Hg
```

=====

Record 18
First-principles (PBE-GGA) data for MgUTl after structural relaxation, as listed in OQMD.

Calculated values
Symmetry ... F-43m (216)
Crystal system ... cubic
Uncorrected energy ... -4.41 eV per atom

The structure in POSCAR format:
```
MgUTl
1.0
0.000 3.563 3.563
3.563 0.000 3.563
3.563 3.563 0.000
Mg U Tl
1 1 1
Direct
0.000 0.000 0.000 Mg
0.500 0.500 0.500 U
0.250 0.250 0.250 Tl
```

=====

Record 19
First-principles (PBE-GGA) data for LuCuGeTeSe2 after structural relaxation, as listed in OQMD.

Calculated values
Symmetry ... Cmcm (63)
Crystal system ... orthorhombic
Uncorrected energy ... -4.55 eV per atom

The structure in POSCAR format:
```
LuCuGeTeSe2
1.0
1.968 -6.691 0.000
1.968 6.691 0.000
0.000 0.000 10.873
Lu Cu Ge Te Se
2 2 2 2 4
Direct
0.000 0.000 0.000 Lu
0.000 0.000 0.500 Lu
0.470 0.530 0.750 Cu
0.530 0.470 0.250 Cu
0.195 0.805 0.250 Ge
0.805 0.195 0.750 Ge
0.103 0.897 0.750 Te
0.897 0.103 0.250 Te
0.360 0.640 0.568 Se
0.360 0.640 0.932 Se
0.640 0.360 0.068 Se
0.640 0.360 0.432 Se
```

=====

Record 20
First-principles (PBE-GGA) data for TaNbAlC after structural relaxation, as listed in OQMD.

Calculated values
Symmetry ... P6_3mc (186)
Crystal system ... hexagonal
Uncorrected energy ... -9.25 eV per atom

The structure in POSCAR format:
```
TaNbAlC
1.0
3.111 0.000 0.000
-1.555 2.694 0.000
0.000 0.000 13.947
Ta Nb Al C
2 2 2 2
Direct
0.333 0.667 0.000 Ta
0.667 0.333 0.500 Ta
0.333 0.667 0.320 Nb
0.667 0.333 0.820 Nb
0.333 0.667 0.661 Al
0.667 0.333 0.161 Al
0.000 0.000 0.412 C
0.000 0.000 0.912 C
```